Here is HfZr3S6 after structural relaxation from Alexandria. Energies are from PBE.

Results
DOS(E_F) = 0.59 states/eV per atom
Calculated density = 5050 kg/m3
Raw formation energy = -13.94 eV per formula unit

a b c (Å): 10.5075 10.5075 13.3001
angles (deg): 90.00 90.00 120.00
Last column: nearest neighbours and their distance in Å.
Space group R-3 (No. 148, hexagonal axes)
Inequivalent atoms, fractional coordinates:
Hf1 0.0000 0.0000 0.0000 x3  6 S 2.58
Hf2 0.0000 0.0000 0.5000 x3  6 S 2.54
Zr1 0.0323 0.5806 0.3753 x18  5 S 2.52-2.66
S1 0.0075 0.1987 0.1175 x18  3 Zr 2.55-2.62, 1 Hf 2.58
S2 0.0323 0.8336 0.3765 x18  2 Zr 2.52-2.66, 1 Hf 2.54


Here is Pr2NdSm2Mg after structural relaxation from Alexandria. Energies are from PBE.

Results
DOS(E_F) = 1.51 states/eV per atom
Energy of formation from the pure elements = 0.180 eV per atom
Calculated density = 6118 kg/m3

a b c (Å): 6.8853 18.3170 6.4657
angles (deg): 90.00 90.00 90.00
Last column: nearest neighbours and their distance in Å.
Space group Ibam (No. 72)
Inequivalent atoms, fractional coordinates:
Pr1 0.1499 0.1551 0.0000 x8  5 Sm 3.42-3.52, 2 Mg 3.43
Nd1 0.0000 0.5000 0.2500 x4  2 Nd 3.23, 4 Sm 3.40, 2 Mg 3.44
Sm1 0.1532 0.3475 0.0000 x8  2 Nd 3.40, 5 Pr 3.42-3.52
Mg1 0.0000 0.0000 0.2500 x4  2 Mg 3.23, 4 Pr 3.43, 2 Nd 3.44


Question: Which of these has the lowest calculated density?
Answer: HfZr3S6


Question: What is the calculated density in the second record?
Answer: 6118 kg/m3